Dy8Cd: relaxed, PBE-GGA.

Cell and atoms, written as extended XYZ:
```
9
Lattice="-3.0303 2.0290 -0.7178 -3.4431 -4.1801 -6.9030 -6.0907 -3.9485 4.9286" Properties=species:S:1:pos:R:3 pbc="T T T"
Dy -4.3484 -1.5225 -5.1919
Dy -2.1250 -0.6286 -2.4289
Dy -6.1586 -1.3641 2.8972
Dy -4.3341 -4.1021 -2.9214
Dy -7.3452 -4.7103 -1.5515
Dy -5.1997 -4.0264 0.9470
Dy -5.2188 -1.3892 -1.1407
Dy -2.9625 -0.5554 1.3136
Cd 0.0000 0.0000 0.0000
```

Properties
- Energy of formation from the pure elements: 0.024 eV per atom



DyCd4: relaxed, PBE-GGA.

Cell and atoms, written as extended XYZ:
```
5
Lattice="5.9830 0.0000 0.0000 0.0000 5.9830 0.0000 0.0000 0.0000 5.9830" Properties=species:S:1:pos:R:3 pbc="T T T"
Cd 0.0000 0.0000 0.0000
Cd 2.9915 2.9915 0.0000
Cd 2.9915 0.0000 2.9915
Cd 0.0000 2.9915 2.9915
Dy 2.9915 2.9915 2.9915
```

Properties
- Energy of formation from the pure elements: 0.666 eV per atom



Dy3Cd2: relaxed, PBE-GGA.

Cell and atoms, written as extended XYZ:
```
10
Lattice="3.6800 0.0000 0.0000 0.0000 3.6800 0.0000 0.0000 0.0000 20.2797" Properties=species:S:1:pos:R:3 pbc="T T T"
Dy 0.0000 0.0000 13.9637
Dy 0.0000 0.0000 10.1398
Dy 0.0000 0.0000 2.4316
Dy 0.0000 0.0000 17.8480
Dy 0.0000 0.0000 6.3160
Dy 1.8400 1.8400 0.0000
Cd 1.8400 1.8400 12.0637
Cd 1.8400 1.8400 8.2160
Cd 1.8400 1.8400 4.3675
Cd 1.8400 1.8400 15.9121
```

Properties
- Energy of formation from the pure elements: -0.238 eV per atom



DyCd11: relaxed, PBE-GGA.

Cell and atoms, written as extended XYZ:
```
24
Lattice="-6.9543 3.2966 0.5617 -6.0692 -2.6611 -6.5201 -6.0689 -4.6695 5.2719" Properties=species:S:1:pos:R:3 pbc="T T T"
Cd -6.8883 -2.3093 3.2558
Cd -11.2848 -1.1928 -0.2029
Cd -4.7393 -1.9293 1.1290
Cd -10.4654 -3.5531 1.8132
Cd 0.0000 0.0000 0.0000
Cd -11.7115 -4.2617 -0.7255
Cd -16.6174 -2.8409 0.9740
Cd -4.7394 -1.4468 -1.7037
Cd -13.7598 -2.3859 -1.8634
Cd -12.1542 -0.2786 -3.0806
Cd -6.8885 -1.1013 -3.8363
Cd -10.4656 -2.7526 -2.8867
Cd -16.6175 -2.3584 -1.8587
Cd -13.7598 -2.8683 0.9693
Cd -6.5454 0.2540 1.5009
Cd -8.1338 -3.6542 -4.2711
Cd -9.1195 1.0519 0.1794
Cd -9.2201 -1.0002 2.2480
Cd -6.5454 0.7365 -1.3318
Cd -9.2203 -0.1997 -2.4519
Cd -12.1540 -1.2829 2.8153
Cd -8.1336 -4.8622 2.8210
Dy -7.8076 -2.8411 -0.4837
Dy -3.4771 1.6483 0.2808
```

Properties
- Energy of formation from the pure elements: -0.042 eV per atom



Dy6Cd5: relaxed, PBE-GGA.

Cell and atoms, written as extended XYZ:
```
11
Lattice="-3.5645 1.4944 -3.4787 3.9085 -3.4121 -5.4708 -5.7520 -5.8075 -0.4874" Properties=species:S:1:pos:R:3 pbc="T T T"
Dy -0.8320 -0.0825 -3.0699
Dy -3.8836 -1.4514 -4.4173
Dy -1.8917 -3.1903 -7.2052
Dy -4.5761 -7.6427 -6.3670
Dy -3.5164 -4.5349 -2.2317
Dy -1.5244 -6.2738 -5.0196
Cd -6.1664 -2.8018 -2.6581
Cd -1.1708 -3.1760 -4.0513
Cd 0.7583 -4.9234 -6.7788
Cd 1.9542 -1.7060 -2.7354
Cd -4.2372 -4.5492 -5.3856
```

Properties
- Energy of formation from the pure elements: -0.208 eV per atom



Dy2Cd7: relaxed, PBE-GGA.

Cell and atoms, written as extended XYZ:
```
9
Lattice="5.0535 0.0000 0.0000 -2.5267 4.3764 0.0000 0.0000 0.0000 9.4886" Properties=species:S:1:pos:R:3 pbc="T T T"
Dy 0.0000 2.9176 7.4366
Dy 2.5267 1.4588 2.0520
Cd 0.0000 0.0000 0.0000
Cd 0.0000 0.0000 6.2538
Cd 0.0000 2.9176 4.1124
Cd 2.5267 1.4588 5.3761
Cd 0.0000 0.0000 3.2348
Cd 0.0000 2.9176 1.0264
Cd 2.5267 1.4588 8.4621
```

Properties
- Energy of formation from the pure elements: -0.204 eV per atom



Number 1: calculated volume 30.36 Å³ per atom, density of states at the Fermi level 14.01 states/eV/f.u.. Number 2: calculated volume 42.83 Å³ per atom, density of states at the Fermi level 6.28 states/eV/f.u.. Number 3: calculated volume 27.46 Å³ per atom, density of states at the Fermi level 6.95 states/eV/f.u.. Number 4: calculated volume 23.00 Å³ per atom, density of states at the Fermi level 4.16 states/eV/f.u.. Number 5: calculated volume 27.68 Å³ per atom, density of states at the Fermi level 12.61 states/eV/f.u.. Number 6: calculated volume 23.32 Å³ per atom, density of states at the Fermi level 4.22 states/eV/f.u..